A plane-wave DFT calculation with GGA-PBE was carried out for a geometry-optimized NdSn2Hg2 structure.

a b c (Å): 5.2132 5.2132 12.6990
angles (deg): 90.00 90.00 120.00
Sites, in units of the cell vectors:
Sn 0.6667 0.3333 0.7500
Sn 0.0000 0.0000 0.5000
Sn 0.0000 0.0000 0.0000
Sn 0.3333 0.6667 0.2500
Nd 0.0000 0.0000 0.2500
Nd 0.0000 0.0000 0.7500
Hg 0.3333 0.6667 0.8931
Hg 0.3333 0.6667 0.6069
Hg 0.6667 0.3333 0.1069
Hg 0.6667 0.3333 0.3931

Values from the calculation:
density of states at the Fermi level	0.9173	states/eV per atom
formation energy from the elements	-66	meV per atom

A plane-wave DFT calculation with GGA-PBE was carried out for a geometry-optimized Nd5SnHg4 structure.

a b c (Å): 3.8060 3.8060 19.6254
angles (deg): 90.00 90.00 90.00
Sites, in units of the cell vectors:
Nd 0.5000 0.5000 0.8967
Nd 0.5000 0.5000 0.1033
Nd 0.5000 0.5000 0.5000
Nd 0.5000 0.5000 0.6979
Nd 0.5000 0.5000 0.3021
Hg 0.0000 0.0000 0.4001
Hg 0.0000 0.0000 0.7946
Hg 0.0000 0.0000 0.5999
Hg 0.0000 0.0000 0.2054
Sn 0.0000 0.0000 0.0000

Values from the calculation:
density of states at the Fermi level	1.0774	states/eV per atom
formation energy from the elements	-513	meV per atom

A plane-wave DFT calculation with GGA-PBE was carried out for a geometry-optimized Nd2SnHg structure.

a b c (Å): 4.1014 5.2833 5.2833
angles (deg): 90.00 90.00 90.00
Sites, in units of the cell vectors:
Nd 0.0000 0.5000 0.0000
Nd 0.0000 0.0000 0.5000
Hg 0.5000 0.5000 0.5000
Sn 0.5000 0.0000 0.0000

Values from the calculation:
density of states at the Fermi level	0.9429	states/eV per atom
formation energy from the elements	-600	meV per atom

A plane-wave DFT calculation with GGA-PBE was carried out for a geometry-optimized NdSnHg structure.

a b c (Å): 5.0107 5.0107 5.0107
angles (deg): 60.00 60.00 60.00
Sites, in units of the cell vectors:
Sn 0.0000 0.0000 0.0000
Nd 0.5000 0.5000 0.5000
Hg 0.2500 0.2500 0.2500

Values from the calculation:
density of states at the Fermi level	0.6401	states/eV per atom
formation energy from the elements	-409	meV per atom

A plane-wave DFT calculation with GGA-PBE was carried out for a geometry-optimized NdSnHg structure.

a b c (Å): 5.4487 6.5784 5.3003
angles (deg): 90.00 120.93 90.00
Sites, in units of the cell vectors:
Nd 0.6650 0.7500 0.8299
Nd 0.3350 0.2500 0.1701
Sn 0.0000 0.5000 0.5000
Sn 0.0000 0.0000 0.5000
Hg 0.6730 0.2500 0.8460
Hg 0.3270 0.7500 0.1540

Values from the calculation:
density of states at the Fermi level	0.5530	states/eV per atom
formation energy from the elements	-514	meV per atom

A plane-wave DFT calculation with GGA-PBE was carried out for a geometry-optimized Nd3Sn3Hg structure.

a b c (Å): 6.3429 9.3874 9.3874
angles (deg): 120.00 90.00 90.00
Sites, in units of the cell vectors:
Sn 0.2500 0.9556 0.2963
Sn 0.7500 0.0444 0.7037
Sn 0.2500 0.7037 0.6593
Sn 0.2500 0.3407 0.0444
Sn 0.7500 0.6593 0.9556
Sn 0.7500 0.2963 0.3407
Nd 0.2500 0.0506 0.6789
Nd 0.7500 0.6789 0.6284
Nd 0.7500 0.9494 0.3211
Nd 0.7500 0.3716 0.0506
Nd 0.2500 0.6284 0.9494
Nd 0.2500 0.3211 0.3716
Hg 0.7500 0.3333 0.6667
Hg 0.2500 0.6667 0.3333

Values from the calculation:
density of states at the Fermi level	0.5875	states/eV per atom
formation energy from the elements	-417	meV per atom

A plane-wave DFT calculation with GGA-PBE was carried out for a geometry-optimized Nd8Sn2Hg3 structure.

a b c (Å): 5.6493 9.1586 9.3271
angles (deg): 119.40 90.00 90.00
Sites, in units of the cell vectors:
Nd 0.5000 0.6004 0.7661
Nd 0.0000 0.3224 0.6448
Nd 0.0000 0.1063 0.2126
Nd 0.5000 0.3996 0.2339
Nd 0.5000 0.1656 0.7661
Nd 0.5000 0.8344 0.2339
Nd 0.0000 0.8937 0.7874
Nd 0.0000 0.6776 0.3552
Sn 0.5000 0.7720 0.5441
Sn 0.5000 0.2280 0.4559
Hg 0.0000 0.3186 0.0000
Hg 0.0000 0.6814 0.0000
Hg 0.5000 0.0000 0.0000

Values from the calculation:
density of states at the Fermi level	1.1910	states/eV per atom
formation energy from the elements	-309	meV per atom

A plane-wave DFT calculation with GGA-PBE was carried out for a geometry-optimized Nd3SnHg2 structure.

a b c (Å): 3.7672 3.7672 12.0339
angles (deg): 90.00 90.00 90.00
Sites, in units of the cell vectors:
Hg 0.5000 0.5000 0.8416
Hg 0.5000 0.5000 0.1584
Nd 0.0000 0.0000 0.3288
Nd 0.0000 0.0000 0.0000
Nd 0.0000 0.0000 0.6712
Sn 0.5000 0.5000 0.5000

Values from the calculation:
density of states at the Fermi level	1.0214	states/eV per atom
formation energy from the elements	-542	meV per atom